1.
The following is a GGA-PBE calculation of NaBiMo3 after structural relaxation, from Alexandria.

Values from the calculation:
The energy above the most stable polymorph in this dataset comes out at 0.000 eV per atom. For the formation energy, the calculation gives 2360 meV/atom. As for the crystal system: cubic.

The structure in POSCAR format:
```
NaBiMo3
1.0
5.120 0.000 0.000
0.000 5.120 0.000
0.000 0.000 5.120
Na Bi Mo
1 1 3
Direct
0.000 0.000 0.000 Na
0.500 0.500 0.500 Bi
0.000 0.500 0.500 Mo
0.500 0.000 0.500 Mo
0.500 0.500 0.000 Mo
```

=====

2.
The following is a GGA-PBE calculation of NaBi2Mo after structural relaxation, from Alexandria.

Values from the calculation:
The energy above the most stable polymorph in this dataset comes out at 0.239 eV per atom. For the formation energy, the calculation gives 626 meV/atom. As for the crystal system: tetragonal.

The structure in POSCAR format:
```
NaBi2Mo
1.0
-3.573 3.573 6.169
3.573 -3.573 6.169
3.573 3.573 -6.169
Na Bi Mo
2 4 2
Direct
0.000 0.000 0.000 Na
0.750 0.250 0.500 Na
0.195 0.625 0.070 Bi
0.375 0.445 0.570 Bi
0.555 0.125 0.930 Bi
0.875 0.805 0.430 Bi
0.250 0.750 0.500 Mo
0.500 0.500 0.000 Mo
```